Below is crystalline Tb2BiWO8 at its relaxed geometry, with properties calculated at the GGA+U level.

Results
space group: Cmmm
raw total energy: -88.81 eV per cell
theoretical density: 7.9 g/cm3

Unit cell a=5.0661 b=5.0651 c=6.8613 alpha=90.00 beta=90.00 gamma=91.80
Closest atoms and distances in Å follow each position.
Positions (direct):
Tb (0.5000, 0.5000, 0.7578)  6 O 2.23-2.32
Tb (0.5000, 0.5000, 0.2422)  6 O 2.23-2.32
Bi (0.0000, 0.0000, 0.5000)  6 O 2.17-2.37
W (0.0000, 0.0000, 0.0000)  6 O 1.95-1.98
O (0.1820, 0.8180, 0.2143)  1 W 1.98
O (0.7238, 0.7238, 0.0000)  1 W 1.95
O (0.8180, 0.1820, 0.2143)  1 W 1.98
O (0.8180, 0.1820, 0.7857)  1 W 1.98
O (0.2762, 0.2762, 0.0000)  1 W 1.95
O (0.1820, 0.8180, 0.7857)  1 W 1.98
O (0.6927, 0.6924, 0.5000)  1 Bi 2.17, 2 Tb 2.23
O (0.3073, 0.3076, 0.5000)  1 Bi 2.17, 2 Tb 2.23